A plane-wave DFT calculation with PBE with a Hubbard U was carried out for crystalline NaBiMoO6 at its relaxed geometry.

a b c (Å): 5.3600 5.3600 4.6131
angles (deg): 90.00 90.00 120.00
Closest atoms and distances in Å follow each position.
Space group P312 (No. 149)
Symmetry-distinct sites (fractional):
Na: 0.0000 0.0000 0.0000 (multiplicity 1)  6 O 2.26
Bi: 0.6667 0.3333 0.5000 (multiplicity 1)  6 O 2.17
Mo: 0.3333 0.6667 0.0000 (multiplicity 1)  6 O 1.95
O: 0.0263 0.3790 0.2422 (multiplicity 6)  1 Mo 1.95, 1 Bi 2.17

D(E_F): 0.035 states/eV per atom
M_tot: 0.000 μB/f.u.
volume: 114.8 Å³/cell
total DFT energy (no corrections): -5.8650 eV per atom